Here is a geometry-optimized BeSbCl structure from the Alexandria database. Energies are from GGA-PBEsol.

- E above lowest polymorph: 0 meV/atom
- Raw formation energy: -8.44 kcal/mol of atoms

a b c (Å): 3.1934 3.1934 6.8337
angles (deg): 90.00 90.00 120.00
With the nearest neighbours (Å) after each atom.
Space group P3m1 (No. 156)
One atom of each set of equivalent atoms:
Be (0.0000, 0.0000, 0.0000) (multiplicity 1)  3 Cl 2.18
Sb (0.6667, 0.3333, 0.3025) (multiplicity 1)  3 Be 2.77
Cl (0.3333, 0.6667, 0.8292) (multiplicity 1)  3 Be 2.18


Here is a geometry-optimized BeSb2Cl structure from the Alexandria database. Energies are from GGA-PBEsol.

- E above lowest polymorph: 0 meV/atom
- Raw formation energy: 2.11 kcal/mol of atoms

a b c (Å): 3.2551 3.2551 7.6865
angles (deg): 90.00 90.00 90.00
With the nearest neighbours (Å) after each atom.
Space group P4/mmm (No. 123)
One atom of each set of equivalent atoms:
Be (0.0000, 0.0000, 0.0000) (multiplicity 1)  8 Sb 2.79
Sb (0.5000, 0.5000, 0.2053) (multiplicity 2)  4 Be 2.79
Cl (0.0000, 0.0000, 0.5000) (multiplicity 1)  8 Sb 3.23, 4 Cl 3.26


Here is a geometry-optimized BeSbCl structure from the Alexandria database. Energies are from GGA-PBEsol.

- E above lowest polymorph: 138 meV/atom
- Raw formation energy: -5.27 kcal/mol of atoms

a b c (Å): 3.0818 5.9969 14.4896
angles (deg): 90.00 90.00 90.00
With the nearest neighbours (Å) after each atom.
Space group Fmm2 (No. 42)
One atom of each set of equivalent atoms:
Be (0.0000, 0.0000, 0.0000) (multiplicity 4)  2 Cl 2.05
Sb (0.0000, 0.0000, 0.3512) (multiplicity 4)  2 Be 2.65
Cl (0.0000, 0.0000, 0.5934) (multiplicity 4)  2 Be 2.05


Here is a geometry-optimized BeSbCl2 structure from the Alexandria database. Energies are from GGA-PBEsol.

- E above lowest polymorph: 242 meV/atom
- Raw formation energy: -7.24 kcal/mol of atoms

a b c (Å): 6.4050 6.4050 8.9452
angles (deg): 90.00 90.00 90.00
With the nearest neighbours (Å) after each atom.
Space group I-42d (No. 122)
One atom of each set of equivalent atoms:
Be (0.0000, 0.0000, 0.0000) (multiplicity 4)  4 Cl 1.99
Sb (0.0000, 0.0000, 0.5000) (multiplicity 4)  8 Cl 3.44-3.74
Cl (0.0585, 0.2500, 0.1250) (multiplicity 8)  2 Be 1.99


Here is a geometry-optimized Be2SbCl structure from the Alexandria database. Energies are from GGA-PBEsol.

- E above lowest polymorph: 0 meV/atom
- Raw formation energy: 2.45 kcal/mol of atoms

a b c (Å): 3.6641 3.6641 5.0165
angles (deg): 90.00 90.00 90.00
With the nearest neighbours (Å) after each atom.
Space group P4mm (No. 99)
One atom of each set of equivalent atoms:
Be (0.0000, 0.0000, 0.0000) (multiplicity 1)  1 Cl 2.07
Be (0.5000, 0.5000, 0.4208) (multiplicity 1)  2 Sb 2.49-2.53, 4 Cl 2.59
Sb (0.5000, 0.5000, 0.9169) (multiplicity 1)  6 Be 2.49-2.62
Cl (0.0000, 0.0000, 0.4135) (multiplicity 1)  1 Be 2.07


Here is a geometry-optimized BeSb2Cl structure from the Alexandria database. Energies are from GGA-PBEsol.

- E above lowest polymorph: 285 meV/atom
- Raw formation energy: 8.69 kcal/mol of atoms

a b c (Å): 5.0884 5.0884 3.1678
angles (deg): 90.00 90.00 90.00
With the nearest neighbours (Å) after each atom.
Space group P4/mmm (No. 123)
One atom of each set of equivalent atoms:
Be (0.0000, 0.0000, 0.0000) (multiplicity 1)  8 Sb 3.00, 2 Be 3.17
Sb (0.0000, 0.5000, 0.5000) (multiplicity 2)  4 Cl 3.00, 4 Be 3.00, 2 Sb 3.17
Cl (0.5000, 0.5000, 0.0000) (multiplicity 1)  8 Sb 3.00, 2 Cl 3.17


Here is a geometry-optimized BeSbCl2 structure from the Alexandria database. Energies are from GGA-PBEsol.

- E above lowest polymorph: 0 meV/atom
- Raw formation energy: -12.82 kcal/mol of atoms

a b c (Å): 2.9950 6.1365 11.3219
angles (deg): 90.00 90.00 90.00
With the nearest neighbours (Å) after each atom.
Space group Cmmm (No. 65)
One atom of each set of equivalent atoms:
Be (0.0000, 0.0000, 0.0000) (multiplicity 2)  4 Cl 2.08
Sb (0.0000, 0.0000, 0.5000) (multiplicity 2)  2 Sb 2.99
Cl (0.0000, 0.5000, 0.1280) (multiplicity 4)  2 Be 2.08


Here is a geometry-optimized Sc2BeCl structure from the Alexandria database. Energies are from GGA-PBEsol.

- E above lowest polymorph: 340 meV/atom
- Raw formation energy: -6.23 kcal/mol of atoms

a b c (Å): 3.7175 5.3755 7.1799
angles (deg): 90.00 90.00 90.00
With the nearest neighbours (Å) after each atom.
Space group Immm (No. 71)
One atom of each set of equivalent atoms:
Sc (0.0000, 0.0000, 0.2375) (multiplicity 4)  2 Cl 2.52, 2 Be 2.65
Be (0.0000, 0.5000, 0.0000) (multiplicity 2)  4 Sc 2.65
Cl (0.0000, 0.5000, 0.5000) (multiplicity 2)  4 Sc 2.52


Here is a geometry-optimized Sc2BeCl structure from the Alexandria database. Energies are from GGA-PBEsol.

- E above lowest polymorph: 0 meV/atom
- Raw formation energy: -14.07 kcal/mol of atoms

a b c (Å): 3.4813 3.4813 19.9652
angles (deg): 90.00 90.00 120.00
With the nearest neighbours (Å) after each atom.
Space group R-3m (No. 166, hexagonal axes)
One atom of each set of equivalent atoms:
Sc (0.0000, 0.0000, 0.2438) (multiplicity 6)  3 Be 2.53, 3 Cl 2.69
Be (0.0000, 0.0000, 0.5000) (multiplicity 3)  6 Sc 2.53
Cl (0.0000, 0.0000, 0.0000) (multiplicity 3)  6 Sc 2.69


Here is a geometry-optimized ScBeCl2 structure from the Alexandria database. Energies are from GGA-PBEsol.

- Raw formation energy: -10.37 kcal/mol of atoms

a b c (Å): 3.3038 4.1713 5.2953
angles (deg): 90.00 93.06 90.00
With the nearest neighbours (Å) after each atom.
Space group P2/m (No. 10)
One atom of each set of equivalent atoms:
Sc (0.0000, 0.0000, 0.0000) (multiplicity 1)  4 Cl 2.58
Be (0.5000, 0.0000, 0.5000) (multiplicity 1)  4 Cl 2.59
Cl (0.2504, 0.5000, 0.2487) (multiplicity 2)  2 Sc 2.58, 2 Be 2.59


Here is a geometry-optimized Sc2BeCl structure from the Alexandria database. Energies are from GGA-PBEsol.

- E above lowest polymorph: 178 meV/atom
- Raw formation energy: -9.96 kcal/mol of atoms

a b c (Å): 3.1821 3.3822 13.4035
angles (deg): 90.00 90.00 90.00
With the nearest neighbours (Å) after each atom.
Space group Imm2 (No. 44)
One atom of each set of equivalent atoms:
Sc (0.0000, 0.0000, 0.0000) (multiplicity 2)  2 Be 2.57, 4 Cl 2.70
Sc (0.0000, 0.5000, 0.2698) (multiplicity 2)  4 Be 2.59, 2 Cl 2.75
Be (0.0000, 0.5000, 0.8560) (multiplicity 2)  6 Sc 2.57-2.59
Cl (0.0000, 0.0000, 0.6027) (multiplicity 2)  6 Sc 2.70-2.75


Here is a geometry-optimized Sc2BeCl structure from the Alexandria database. Energies are from GGA-PBEsol.

- E above lowest polymorph: 8 meV/atom
- Raw formation energy: -13.88 kcal/mol of atoms

a b c (Å): 3.1327 3.2116 7.2938
angles (deg): 90.00 90.00 90.00
With the nearest neighbours (Å) after each atom.
Space group Pmmm (No. 47)
One atom of each set of equivalent atoms:
Sc (0.0000, 0.0000, 0.2089) (multiplicity 2)  2 Cl 2.64, 4 Be 2.71
Be (0.5000, 0.5000, 0.0000) (multiplicity 1)  8 Sc 2.71
Cl (0.5000, 0.0000, 0.5000) (multiplicity 1)  4 Sc 2.64


Here is a geometry-optimized BeSe2Cl structure from the Alexandria database. Energies are from GGA-PBEsol.

- E above lowest polymorph: 420 meV/atom
- Raw formation energy: 1.38 kcal/mol of atoms

a b c (Å): 3.1830 3.1830 6.8312
angles (deg): 90.00 90.00 90.00
With the nearest neighbours (Å) after each atom.
Space group P4/mmm (No. 123)
One atom of each set of equivalent atoms:
Be (0.0000, 0.0000, 0.0000) (multiplicity 1)  8 Se 2.56
Se (0.5000, 0.5000, 0.1798) (multiplicity 2)  1 Se 2.46, 4 Be 2.56
Cl (0.0000, 0.0000, 0.5000) (multiplicity 1)  8 Se 3.14, 4 Cl 3.18, 2 Be 3.42


Here is a geometry-optimized BeSe2Cl structure from the Alexandria database. Energies are from GGA-PBEsol.

- E above lowest polymorph: 961 meV/atom
- Raw formation energy: 13.84 kcal/mol of atoms

a b c (Å): 4.8832 4.8832 2.9109
angles (deg): 90.00 90.00 90.00
With the nearest neighbours (Å) after each atom.
Space group P4/mmm (No. 123)
One atom of each set of equivalent atoms:
Be (0.0000, 0.0000, 0.0000) (multiplicity 1)  8 Se 2.84, 2 Be 2.91
Se (0.0000, 0.5000, 0.5000) (multiplicity 2)  4 Cl 2.84, 4 Be 2.84, 2 Se 2.91
Cl (0.5000, 0.5000, 0.0000) (multiplicity 1)  8 Se 2.84, 2 Cl 2.91


Here is a geometry-optimized BeSe2Cl structure from the Alexandria database. Energies are from GGA-PBEsol.

- E above lowest polymorph: 659 meV/atom
- Raw formation energy: 6.89 kcal/mol of atoms

a b c (Å): 3.0206 3.0206 29.7762
angles (deg): 90.00 90.00 120.00
With the nearest neighbours (Å) after each atom.
Space group R-3m (No. 166, hexagonal axes)
One atom of each set of equivalent atoms:
Be (0.0000, 0.0000, 0.0000) (multiplicity 3)  2 Se 2.06
Se (0.0000, 0.0000, 0.0691) (multiplicity 6)  1 Be 2.06
Cl (0.0000, 0.0000, 0.5000) (multiplicity 3)  6 Cl 3.02


Here is a geometry-optimized BeSe2Cl structure from the Alexandria database. Energies are from GGA-PBEsol.

- E above lowest polymorph: 206 meV/atom
- Raw formation energy: -3.56 kcal/mol of atoms

a b c (Å): 3.1584 6.8109 8.2334
angles (deg): 90.00 90.00 90.00
With the nearest neighbours (Å) after each atom.
Space group Cmm2 (No. 35)
One atom of each set of equivalent atoms:
Be (0.0000, 0.0000, 0.0000) (multiplicity 2)  2 Cl 2.06
Se (0.0000, 0.0000, 0.5620) (multiplicity 2)  2 Se 2.47
Se (0.0000, 0.5000, 0.7925) (multiplicity 2)  2 Be 2.33, 2 Se 2.47
Cl (0.0000, 0.5000, 0.1598) (multiplicity 2)  2 Be 2.06


Here is a geometry-optimized BeSe2Cl structure from the Alexandria database. Energies are from GGA-PBEsol.

- E above lowest polymorph: 0 meV/atom
- Raw formation energy: -8.31 kcal/mol of atoms

a b c (Å): 11.0861 3.0955 5.3202
angles (deg): 90.00 106.77 90.00
With the nearest neighbours (Å) after each atom.
Space group Cm (No. 8)
One atom of each set of equivalent atoms:
Be (0.0000, 0.0000, 0.0000) (multiplicity 2)  2 Cl 2.12
Se (0.0646, 0.5000, 0.3799) (multiplicity 2)  1 Se 2.29, 2 Be 2.48
Se (0.1840, 0.5000, 0.0927) (multiplicity 2)  1 Se 2.29, 2 Be 2.49
Cl (0.3870, 0.0000, 0.7768) (multiplicity 2)  2 Be 2.12


Here is a geometry-optimized TaBe2SeCl structure from the Alexandria database. Energies are from GGA-PBEsol.

- Raw formation energy: 23.60 kcal/mol of atoms

a b c (Å): 3.7629 3.7629 5.8222
angles (deg): 90.00 90.00 90.00
With the nearest neighbours (Å) after each atom.
Space group P4/mmm (No. 123)
One atom of each set of equivalent atoms:
Ta (0.0000, 0.0000, 0.0000) (multiplicity 1)  4 Se 2.66
Be (0.0000, 0.5000, 0.5000) (multiplicity 2)  2 Cl 1.88
Se (0.5000, 0.5000, 0.0000) (multiplicity 1)  4 Ta 2.66, 2 Cl 2.91
Cl (0.5000, 0.5000, 0.5000) (multiplicity 1)  4 Be 1.88


Here is a geometry-optimized BeZn2SeCl structure from the Alexandria database. Energies are from GGA-PBEsol.

- Raw formation energy: 7.46 kcal/mol of atoms

a b c (Å): 4.7659 4.7659 3.9178
angles (deg): 90.00 90.00 90.00
With the nearest neighbours (Å) after each atom.
Space group P4/mmm (No. 123)
One atom of each set of equivalent atoms:
Be (0.0000, 0.0000, 0.0000) (multiplicity 1)  2 Cl 1.96
Zn (0.0000, 0.5000, 0.0000) (multiplicity 2)  2 Be 2.38
Se (0.5000, 0.5000, 0.5000) (multiplicity 1)  8 Zn 3.08, 4 Cl 3.37
Cl (0.0000, 0.0000, 0.5000) (multiplicity 1)  2 Be 1.96


Here is a geometry-optimized Be2SiCl structure from the Alexandria database. Energies are from GGA-PBEsol.

- E above lowest polymorph: 0 meV/atom
- Raw formation energy: 3.24 kcal/mol of atoms

a b c (Å): 2.9366 2.9371 6.1447
angles (deg): 90.00 90.00 90.00
With the nearest neighbours (Å) after each atom.
Space group Pmmm (No. 47)
One atom of each set of equivalent atoms:
Be (0.0000, 0.0000, 0.2114) (multiplicity 2)  2 Cl 2.30, 4 Si 2.45
Si (0.5000, 0.5000, 0.0000) (multiplicity 1)  8 Be 2.45
Cl (0.5000, 0.0000, 0.5000) (multiplicity 1)  4 Be 2.30